(1)
Cu5Ru4: optimized geometry, PBE-GGA.

a = 5.8983 Å, b = 5.8983 Å, c = 5.8983 Å
α = 95.84°, β = 95.84°, γ = 142.79°
Sites, in units of the cell vectors:
1 Ru 0.6634 0.0000 0.6634
2 Cu 0.6656 0.3344 0.0000
3 Cu 0.3344 0.3344 0.6687
4 Cu 0.3344 0.6656 0.0000
5 Ru 0.0000 0.6634 0.6634
6 Cu 0.0000 0.0000 0.0000
7 Ru 0.3366 0.0000 0.3366
8 Ru 0.0000 0.3366 0.3366
9 Cu 0.6656 0.6656 0.3313

Calculated values
DOS at the Fermi energy	10.36	states/eV/cell
energy	-6.149	eV/atom
space group	I4/mmm, No. 139
DFT formation energy	0.249	eV per atom
crystal system	tetragonal


(2)
Cu3Ru2: optimized geometry, PBE-GGA.

a = 10.8592 Å, b = 10.8592 Å, c = 10.8592 Å
α = 13.98°, β = 13.98°, γ = 13.98°
Sites, in units of the cell vectors:
1 Cu 0.8015 0.8015 0.8015
2 Cu 0.0000 0.0000 0.0000
3 Cu 0.1985 0.1985 0.1985
4 Ru 0.5990 0.5990 0.5990
5 Ru 0.4010 0.4010 0.4010

Calculated values
DOS at the Fermi energy	4.26	states/eV/cell
energy	-5.940	eV/atom
space group	R-3m, No. 166
DFT formation energy	0.228	eV per atom
crystal system	trigonal


(3)
Cu4Ru5: optimized geometry, PBE-GGA.

a = 7.3732 Å, b = 7.3732 Å, c = 5.0876 Å
α = 90.00°, β = 90.00°, γ = 60.00°
Sites, in units of the cell vectors:
1 Cu 0.0000 0.0000 0.0000
2 Cu 0.0000 0.0000 0.5000
3 Cu 0.6430 0.0000 0.7500
4 Ru 0.3103 0.6897 0.2500
5 Cu 0.0000 0.3570 0.7500
6 Ru 0.6897 0.0000 0.2500
7 Ru 0.3333 0.3333 0.0000
8 Ru 0.3333 0.3333 0.5000
9 Cu 0.3570 0.6430 0.7500
10 Cu 0.0000 0.6430 0.2500
11 Ru 0.0000 0.6897 0.7500
12 Ru 0.0000 0.3103 0.2500
13 Ru 0.6897 0.3103 0.7500
14 Cu 0.3570 0.0000 0.2500
15 Ru 0.6667 0.6667 0.0000
16 Cu 0.6430 0.3570 0.2500
17 Ru 0.3103 0.0000 0.7500
18 Ru 0.6667 0.6667 0.5000

Calculated values
DOS at the Fermi energy	26.07	states/eV/cell
relative energy among the computed polymorphs	20.3	kJ per mole of atoms
energy	-6.495	eV/atom
space group	P6_3/mcm, No. 193
DFT formation energy	0.478	eV per atom
crystal system	hexagonal


(4)
CuRu2: optimized geometry, PBE-GGA.

a = 2.7447 Å, b = 5.7208 Å, c = 2.7447 Å
α = 76.12°, β = 90.00°, γ = 103.88°
Sites, in units of the cell vectors:
1 Ru 0.6702 0.3404 0.3298
2 Cu 0.0000 0.0000 0.0000
3 Ru 0.3298 0.6596 0.6702

Calculated values
DOS at the Fermi energy	2.64	states/eV/cell
relative energy among the computed polymorphs	3.6	kJ per mole of atoms
energy	-7.357	eV/atom
space group	I4/mmm, No. 139
DFT formation energy	0.193	eV per atom
crystal system	tetragonal


(5)
CuRu2: optimized geometry, PBE-GGA.

a = 6.0675 Å, b = 6.0675 Å, c = 3.7220 Å
α = 90.00°, β = 90.00°, γ = 144.05°
Sites, in units of the cell vectors:
1 Ru 0.2459 0.7541 0.2500
2 Cu 0.0810 0.9190 0.7500
3 Ru 0.5858 0.4142 0.2500
4 Ru 0.4142 0.5858 0.7500
5 Cu 0.9190 0.0810 0.2500
6 Ru 0.7541 0.2459 0.7500

Calculated values
DOS at the Fermi energy	6.64	states/eV/cell
relative energy among the computed polymorphs	9.3	kJ per mole of atoms
energy	-7.298	eV/atom
space group	Cmcm, No. 63
DFT formation energy	0.252	eV per atom
crystal system	orthorhombic


(6)
CuRu2: optimized geometry, PBE-GGA.

a = 2.5965 Å, b = 4.1249 Å, c = 16.8214 Å
α = 90.00°, β = 90.00°, γ = 90.00°
Sites, in units of the cell vectors:
1 Ru 0.0000 0.2500 0.1860
2 Ru 0.5000 0.2500 0.3140
3 Ru 0.0000 0.2500 0.0374
4 Ru 0.0000 0.7500 0.8140
5 Ru 0.5000 0.7500 0.6860
6 Ru 0.5000 0.7500 0.5374
7 Cu 0.0000 0.2500 0.6234
8 Cu 0.5000 0.2500 0.8766
9 Ru 0.0000 0.7500 0.9626
10 Cu 0.5000 0.7500 0.1234
11 Cu 0.0000 0.7500 0.3766
12 Ru 0.5000 0.2500 0.4626

Calculated values
DOS at the Fermi energy	14.97	states/eV/cell
relative energy among the computed polymorphs	41.5	kJ per mole of atoms
energy	-6.964	eV/atom
space group	Imma, No. 74
DFT formation energy	0.585	eV per atom
crystal system	orthorhombic